First-principles (PBE) data for a geometry-optimized YSi2Os2 structure, as listed in Alexandria via LeMat-Bulk.

Unit cell a=7.3478 b=7.3478 c=2.8931 alpha=90.00 beta=90.00 gamma=90.00
Closest atoms and distances in Å follow each position.
Space group P4/mbm (No. 127)
Symmetry-distinct sites (fractional):
Y1 0.0000 0.0000 0.0000 [2 per cell]  4 Si 2.85, 2 Y 2.89, 8 Os 3.15
Si1 0.1380 0.3620 0.0000 [4 per cell]  6 Os 2.56-2.65, 2 Y 2.85
Os1 0.1487 0.6487 0.5000 [4 per cell]  6 Si 2.56-2.65

Calculated values
- electronic total energy (eV per cell) = -82.45

=====

First-principles (PBE) data for a geometry-optimized MoIrRu2 structure, as listed in Alexandria via LeMat-Bulk.

Unit cell a=2.7442 b=2.7442 c=7.7300 alpha=90.00 beta=90.00 gamma=90.00
Closest atoms and distances in Å follow each position.
Space group P4/mmm (No. 123)
Symmetry-distinct sites (fractional):
Mo1 0.0000 0.0000 0.0000 [1 per cell]  4 Mo 2.74, 8 Ru 2.75
Ir1 0.0000 0.0000 0.5000 [1 per cell]  8 Ru 2.73, 4 Ir 2.74
Ru1 0.5000 0.5000 0.2522 [2 per cell]  4 Ir 2.73, 4 Ru 2.74, 4 Mo 2.75

Calculated values
- E_form (kJ/mol of atoms) = 2.7

=====

First-principles (PBE) data for a geometry-optimized Ba3Te structure, as listed in Alexandria via LeMat-Bulk.

Unit cell a=4.4919 b=13.1973 c=7.6320 alpha=90.00 beta=90.00 gamma=90.00
Closest atoms and distances in Å follow each position.
Space group Imm2 (No. 44)
Symmetry-distinct sites (fractional):
Ba1 0.0000 0.0000 0.0000 [2 per cell]  2 Te 3.48
Ba2 0.0000 0.1873 0.4952 [4 per cell]  2 Te 3.55
Te1 0.0000 0.5000 0.1510 [2 per cell]  6 Ba 3.48-3.55

Calculated values
- electronic total energy (eV per cell) = -23.50

=====

First-principles (PBE) data for a geometry-optimized ScZnMo2I structure, as listed in Alexandria via LeMat-Bulk.

Unit cell a=4.9075 b=4.9075 c=5.1586 alpha=90.00 beta=90.00 gamma=90.00
Closest atoms and distances in Å follow each position.
Space group P4/mmm (No. 123)
Symmetry-distinct sites (fractional):
Sc1 0.0000 0.0000 0.0000 [1 per cell]  2 I 2.58
Zn1 0.5000 0.5000 0.0000 [1 per cell]  4 Sc 3.47, 8 Mo 3.56
Mo1 0.0000 0.5000 0.5000 [2 per cell]  2 I 2.45
I1 0.0000 0.0000 0.5000 [1 per cell]  4 Mo 2.45, 2 Sc 2.58

Calculated values
- electronic total energy (eV per cell) = -22.88

=====

| no. | Fermi-level density of states (states/eV/f.u.) | total magnetization (μB per formula unit) |
| --- | --- | --- |
| 1 | 3.1 | 0.1 |
| 2 | 3.6 | 0.0 |
| 3 | 3.7 | 0.1 |
| 4 | 8.6 | 0.0 |